Below is KNi2BiS after structural relaxation, with properties calculated at the PBE level.

Cell lengths 4.8890, 5.6509, 4.8890 Å; angles 90.00, 90.00, 90.00 degrees
Fractional coordinates of all 5 atoms:
S 0.0000 0.5000 0.0000
Ni 0.0000 0.0000 0.5000
Ni 0.5000 0.0000 0.0000
K 0.5000 0.5000 0.5000
Bi 0.0000 0.0000 0.0000

uncorrected formation energy: 457 meV/atom